[1]
DFT (GGA-PBE) results for VSbRh2 after structural relaxation.

CIF file:
```
data_VSbRh2
_cell_length_a 4.063
_cell_length_b 4.063
_cell_length_c 3.813
_cell_angle_alpha 90.00
_cell_angle_beta 90.00
_cell_angle_gamma 90.00
_symmetry_space_group_name_H-M 'P 4/m m m'
_symmetry_Int_Tables_number 123
_symmetry_space_group_name_Hall '-P 4 2'
loop_
_atom_site_label
_atom_site_fract_x
_atom_site_fract_y
_atom_site_fract_z
_atom_site_occupancy
V1 0.000 0.000 0.000 1
Sb1 0.500 0.500 0.000 1
Rh1 0.000 0.500 0.500 1
```

Calculated values
DFT total energy: -29.0 eV/cell
Uncorrected formation energy: -1.04 eV per formula unit

***

[2]
DFT (GGA-PBE) results for Na2TlGaF6 after structural relaxation.

CIF file:
```
data_Na2TlGaF6
_cell_length_a 8.976
_cell_length_b 8.976
_cell_length_c 8.976
_cell_angle_alpha 90.00
_cell_angle_beta 90.00
_cell_angle_gamma 90.00
_symmetry_space_group_name_H-M 'F m -3 m'
_symmetry_Int_Tables_number 225
_symmetry_space_group_name_Hall '-F 4 2 3'
loop_
_atom_site_label
_atom_site_fract_x
_atom_site_fract_y
_atom_site_fract_z
_atom_site_occupancy
Na1 0.250 0.250 0.250 1
Tl1 0.000 0.000 0.000 1
Ga1 0.000 0.000 0.500 1
F1 0.000 0.000 0.286 1
```

Calculated values
DFT total energy: -172.1 eV/cell
Uncorrected formation energy: -23.76 eV per formula unit

***

[3]
DFT (GGA-PBE) results for Tb4Mg5Zn2 after structural relaxation.

CIF file:
```
data_Tb4Mg5Zn2
_cell_length_a 7.961
_cell_length_b 3.475
_cell_length_c 10.132
_cell_angle_alpha 90.00
_cell_angle_beta 93.65
_cell_angle_gamma 90.00
_symmetry_space_group_name_H-M 'P 1 2/m 1'
_symmetry_Int_Tables_number 10
_symmetry_space_group_name_Hall '-P 2y'
loop_
_atom_site_label
_atom_site_fract_x
_atom_site_fract_y
_atom_site_fract_z
_atom_site_occupancy
Tb1 0.159 0.000 0.369 1
Tb2 0.251 0.000 0.947 1
Mg1 0.194 0.500 0.663 1
Mg2 0.438 0.500 0.198 1
Mg3 0.500 0.500 0.500 1
Zn1 0.057 0.500 0.132 1
```

Calculated values
Formation energy: -0.11 eV per atom
DFT total energy: -30.3 eV/cell

***

[4]
DFT (GGA-PBE) results for ZrTaBe4 after structural relaxation.

CIF file:
```
data_ZrTaBe4
_cell_length_a 6.662
_cell_length_b 6.662
_cell_length_c 6.662
_cell_angle_alpha 90.00
_cell_angle_beta 90.00
_cell_angle_gamma 90.00
_symmetry_space_group_name_H-M 'F -4 3 m'
_symmetry_Int_Tables_number 216
_symmetry_space_group_name_Hall 'F -4 2 3'
loop_
_atom_site_label
_atom_site_fract_x
_atom_site_fract_y
_atom_site_fract_z
_atom_site_occupancy
Zr1 0.000 0.000 0.000 1
Ta1 0.250 0.250 0.250 1
Be1 0.124 0.124 0.624 1
```

Calculated values
Formation energy: -0.10 eV per atom
DFT total energy: -143.5 eV/cell

***

[5]
DFT (GGA-PBE) results for Mn2TePt after structural relaxation.

CIF file:
```
data_Mn2TePt
_cell_length_a 4.126
_cell_length_b 4.126
_cell_length_c 7.940
_cell_angle_alpha 90.00
_cell_angle_beta 90.00
_cell_angle_gamma 90.00
_symmetry_space_group_name_H-M 'I 4/m m m'
_symmetry_Int_Tables_number 139
_symmetry_space_group_name_Hall '-I 4 2'
loop_
_atom_site_label
_atom_site_fract_x
_atom_site_fract_y
_atom_site_fract_z
_atom_site_occupancy
Mn1 0.000 0.500 0.250 1
Te1 0.000 0.000 0.000 1
Pt1 0.000 0.000 0.500 1
```

Calculated values
DFT total energy: -54.7 eV/cell
Uncorrected formation energy: 0.19 eV per formula unit

***

[6]
DFT (GGA-PBE) results for ZrIn3B after structural relaxation.

CIF file:
```
data_ZrIn3B
_cell_length_a 4.767
_cell_length_b 4.767
_cell_length_c 4.767
_cell_angle_alpha 90.00
_cell_angle_beta 90.00
_cell_angle_gamma 90.00
_symmetry_space_group_name_H-M 'P m -3 m'
_symmetry_Int_Tables_number 221
_symmetry_space_group_name_Hall '-P 4 2 3'
loop_
_atom_site_label
_atom_site_fract_x
_atom_site_fract_y
_atom_site_fract_z
_atom_site_occupancy
Zr1 0.000 0.000 0.000 1
In1 0.000 0.500 0.500 1
B1 0.500 0.500 0.500 1
```

Calculated values
Formation energy: 0.66 eV per atom
DFT total energy: -20.1 eV/cell

***

[7]
DFT (GGA-PBE) results for RbMg2GePd after structural relaxation.

CIF file:
```
data_RbMg2GePd
_cell_length_a 5.261
_cell_length_b 5.261
_cell_length_c 5.000
_cell_angle_alpha 90.00
_cell_angle_beta 90.00
_cell_angle_gamma 90.00
_symmetry_space_group_name_H-M 'P 4/m m m'
_symmetry_Int_Tables_number 123
_symmetry_space_group_name_Hall '-P 4 2'
loop_
_atom_site_label
_atom_site_fract_x
_atom_site_fract_y
_atom_site_fract_z
_atom_site_occupancy
Rb1 0.000 0.000 0.000 1
Mg1 0.000 0.500 0.500 1
Ge1 0.500 0.500 0.500 1
Pd1 0.500 0.500 0.000 1
```

Calculated values
Formation energy: 0.04 eV per atom
DFT total energy: -13.8 eV/cell

***

[8]
DFT (GGA-PBE) results for ErNbIr4 after structural relaxation.

CIF file:
```
data_ErNbIr4
_cell_length_a 7.432
_cell_length_b 7.432
_cell_length_c 7.432
_cell_angle_alpha 90.00
_cell_angle_beta 90.00
_cell_angle_gamma 90.00
_symmetry_space_group_name_H-M 'F -4 3 m'
_symmetry_Int_Tables_number 216
_symmetry_space_group_name_Hall 'F -4 2 3'
loop_
_atom_site_label
_atom_site_fract_x
_atom_site_fract_y
_atom_site_fract_z
_atom_site_occupancy
Er1 0.000 0.000 0.000 1
Nb1 0.250 0.250 0.750 1
Ir1 0.125 0.125 0.375 1
```

Calculated values
Formation energy: -0.46 eV per atom
DFT total energy: -211.4 eV/cell